Material: YScOs
Method: DFT, meta-GGA SCAN
State: single point on PBEsol structure

Values from the calculation:
Total energy   -38.4089 eV/atom
DOS at the Fermi energy   1.08 states/eV per cell
ΔE to the lowest computed polymorph   0 meV/atom
ΔE_f   -0.422 eV per atom
Crystal system   tetragonal
M_tot   0.0 μB per formula unit

a = 3.2630 Å, b = 3.2630 Å, c = 6.5653 Å
α = 104.39°, β = 104.39°, γ = 90.00°
Fractional positions:
Y  0.3671  0.3671  0.7342
Sc  0.6253  0.6253  0.2506
Os  0.0076  0.0076  0.0152

---

Material: YSc2Os
Method: DFT, meta-GGA SCAN
State: single point on PBEsol structure

Values from the calculation:
Total energy   -32.3772 eV/atom
DOS at the Fermi energy   3.38 states/eV per cell
ΔE to the lowest computed polymorph   17 meV/atom
ΔE_f   -0.328 eV per atom
Crystal system   orthorhombic
M_tot   0.2 μB per formula unit

a = 3.3573 Å, b = 4.9785 Å, c = 5.9366 Å
α = 114.79°, β = 106.43°, γ = 90.00°
Fractional positions:
Y  0.5000  0.0000  0.0000
Sc  0.7024  0.7024  0.4049
Sc  0.2976  0.2976  0.5951
Os  0.0000  0.5000  0.0000

---

Material: YSc2Os
Method: DFT, meta-GGA SCAN
State: single point on PBEsol structure

Values from the calculation:
Total energy   -32.3083 eV/atom
DOS at the Fermi energy   2.98 states/eV per cell
ΔE to the lowest computed polymorph   86 meV/atom
ΔE_f   -0.259 eV per atom
Crystal system   orthorhombic
M_tot   0.0 μB per formula unit

a = 3.3813 Å, b = 4.8503 Å, c = 5.9316 Å
α = 114.13°, β = 106.56°, γ = 90.00°
Fractional positions:
Os  0.7427  0.2427  0.4854
Sc  0.0497  0.0497  0.0994
Sc  0.2494  0.7494  0.4989
Y  0.4582  0.4582  0.9163

---

Material: Sc2ZnOs
Method: DFT, meta-GGA SCAN
State: single point on PBEsol structure

Values from the calculation:
Total energy   -29.0681 eV/atom
DOS at the Fermi energy   2.23 states/eV per cell
ΔE to the lowest computed polymorph   0 meV/atom
ΔE_f   -0.601 eV per atom
Crystal system   tetragonal
M_tot   0.0 μB per formula unit

a = 3.2381 Å, b = 3.2381 Å, c = 6.5229 Å
α = 90.00°, β = 90.00°, γ = 90.00°
Fractional positions:
Sc  0.0000  0.0000  0.7327
Sc  0.0000  0.0000  0.2673
Zn  0.5000  0.5000  0.0000
Os  0.5000  0.5000  0.5000